Below is a relaxed structure of LiNiP4O12, with properties calculated at the PBE+U level.

abc: 7.5785 13.2070 11.2875
angles: 90.00 121.91 90.00
Fractional positions:
Li1 0.2376 0.1951 0.0865
Li2 0.2376 0.3049 0.5865
Li3 0.7624 0.6951 0.4135
Li4 0.7624 0.8049 0.9135
Ni1 0.3874 0.7068 0.4973
Ni2 0.3874 0.7932 0.9973
Ni3 0.6126 0.2068 0.0027
Ni4 0.6126 0.2932 0.5027
P1 0.0125 0.1001 0.2285
P2 0.0125 0.3999 0.7285
P3 0.1476 0.6115 0.7349
P4 0.1476 0.8885 0.2349
P5 0.3144 0.6319 0.2117
P6 0.3144 0.8681 0.7117
P7 0.4247 0.0882 0.7183
P8 0.4247 0.4118 0.2183
P9 0.5753 0.5882 0.7817
P10 0.5753 0.9118 0.2817
P11 0.6856 0.1319 0.2883
P12 0.6856 0.3681 0.7883
P13 0.8524 0.1115 0.7651
P14 0.8524 0.3885 0.2651
P15 0.9875 0.6001 0.2715
P16 0.9875 0.8999 0.7715
O1 0.0186 0.1432 0.9080
O2 0.0186 0.3568 0.4080
O3 0.0686 0.5145 0.7822
O4 0.0686 0.9855 0.2822
O5 0.0788 0.6358 0.1787
O6 0.0788 0.8642 0.6787
O7 0.1601 0.6024 0.4252
O8 0.1601 0.8976 0.9252
O9 0.2000 0.1591 0.2574
O10 0.2000 0.3409 0.7574
O11 0.2259 0.6861 0.8518
O12 0.2259 0.8139 0.3518
O13 0.3178 0.5199 0.1571
O14 0.3178 0.9801 0.6571
O15 0.3264 0.1625 0.6011
O16 0.3264 0.3375 0.1011
O17 0.3280 0.7081 0.1201
O18 0.3280 0.7919 0.6201
O19 0.3395 0.5608 0.7332
O20 0.3395 0.9392 0.2332
O21 0.4180 0.1143 0.8467
O22 0.4180 0.3857 0.3467
O23 0.4720 0.6399 0.3671
O24 0.4720 0.8601 0.8671
O25 0.5280 0.1399 0.1329
O26 0.5280 0.3601 0.6329
O27 0.5820 0.6143 0.6533
O28 0.5820 0.8857 0.1533
O29 0.6605 0.0608 0.7668
O30 0.6605 0.4392 0.2668
O31 0.6720 0.2081 0.3799
O32 0.6720 0.2919 0.8799
O33 0.6736 0.6625 0.8989
O34 0.6736 0.8375 0.3989
O35 0.6822 0.0199 0.3429
O36 0.6822 0.4801 0.8429
O37 0.7741 0.1861 0.6482
O38 0.7741 0.3139 0.1482
O39 0.8000 0.6591 0.2426
O40 0.8000 0.8409 0.7426
O41 0.8399 0.1024 0.0748
O42 0.8399 0.3976 0.5748
O43 0.9212 0.1358 0.3213
O44 0.9212 0.3642 0.8213
O45 0.9314 0.0145 0.7178
O46 0.9314 0.4855 0.2178
O47 0.9814 0.6432 0.5920
O48 0.9814 0.8568 0.0920

Summary:
Calculated total energy = -6.66 eV/atom
Excess energy over the best structure of this formula in the dataset = 45 meV/atom